## A
This record from Alexandria via LeMat-Bulk describes CrAgO4 after structural relaxation. The functional is GGA+U.

a = 9.1547 Å, b = 5.4213 Å, c = 8.1319 Å
α = 66.49°, β = 90.00°, γ = 90.00°
Last column: nearest neighbours and their distance in Å.
Fractional coordinates of all 24 atoms:
Cr 0.4871 0.8886 0.2769  4 O 1.64-1.82
Cr 0.9871 0.1114 0.2231  4 O 1.64-1.82
Cr 0.0129 0.8886 0.7769  4 O 1.64-1.82
Cr 0.5129 0.1114 0.7231  4 O 1.64-1.82
Ag 0.3127 0.4534 0.9457  3 O 2.20-2.44
Ag 0.8127 0.5466 0.5543  3 O 2.20-2.44
Ag 0.1873 0.4534 0.4457  3 O 2.20-2.44
Ag 0.6873 0.5466 0.0543  3 O 2.20-2.44
O 0.3499 0.7103 0.2551  1 Cr 1.64
O 0.3565 0.2739 0.6980  1 Cr 1.65
O 0.0586 0.9244 0.9837  1 O 1.44
O 0.9967 0.8059 0.3883  1 Cr 1.67
O 0.4967 0.1941 0.1117  1 Cr 1.67
O 0.5586 0.0756 0.5163  1 O 1.44
O 0.8565 0.7261 0.8020  1 Cr 1.65
O 0.1501 0.7103 0.7551  1 Cr 1.64
O 0.8499 0.2897 0.2449  1 Cr 1.64
O 0.1435 0.2739 0.1980  1 Cr 1.65
O 0.4414 0.9244 0.4837  1 O 1.44
O 0.5033 0.8059 0.8883  1 Cr 1.67
O 0.0033 0.1941 0.6117  1 Cr 1.67
O 0.9414 0.0756 0.0163  1 O 1.44
O 0.6435 0.7261 0.3020  1 Cr 1.65
O 0.6501 0.2897 0.7449  1 Cr 1.64

Computed properties:
Mass density: 4.02 Mg/m³
Space-group type: P2_1/c


## B
This record from Alexandria via LeMat-Bulk describes CrAgO4 after structural relaxation. The functional is GGA+U.

a = 5.1806 Å, b = 5.1806 Å, c = 7.2642 Å
α = 90.00°, β = 90.00°, γ = 112.72°
Last column: nearest neighbours and their distance in Å.
Fractional coordinates of all 12 atoms:
Cr 0.6548 0.3452 0.2500  4 O 1.67-1.69
Cr 0.3452 0.6548 0.7500  4 O 1.67-1.69
Ag 0.0000 0.0000 0.0000  2 O 2.10
Ag 0.0000 0.0000 0.5000  2 O 2.10
O 0.3019 0.2156 0.2500  1 Cr 1.69
O 0.2156 0.3019 0.7500  1 Cr 1.69
O 0.2384 0.7616 0.5591  1 Cr 1.67
O 0.7616 0.2384 0.0591  1 Cr 1.67
O 0.2384 0.7616 0.9409  1 Cr 1.67
O 0.7616 0.2384 0.4409  1 Cr 1.67
O 0.6981 0.7844 0.7500  1 Cr 1.69
O 0.7844 0.6981 0.2500  1 Cr 1.69

Computed properties:
Mass density: 4.13 Mg/m³
Space-group type: Cmcm


Which one is the most stable? From the structures above, B.